(1)
Computed, not measured: AgHg at its PBEsol-relaxed geometry at the SCAN level of DFT.

ΔE to the lowest computed polymorph	0.000	eV/atom
size of the total moment	0.000	μB/f.u.
density	13.69	g/cm³

Lattice parameters (Å, degrees): 4.7814 5.2509 5.9599 90.00 90.00 90.00
Atoms (fractional coordinates):
Ag (0.2500, 0.5789, 0.3710)
Hg (0.7500, 0.8981, 0.3743)
Ag (0.2500, 0.0789, 0.1290)
Ag (0.7500, 0.4211, 0.6290)
Ag (0.7500, 0.9211, 0.8710)
Hg (0.2500, 0.1019, 0.6257)
Hg (0.7500, 0.3981, 0.1257)
Hg (0.2500, 0.6019, 0.8743)

=====

(2)
Computed, not measured: Ag4Hg5 at its PBEsol-relaxed geometry at the SCAN level of DFT.

size of the total moment	0.000	μB/f.u.
density	13.82	g/cm³

Lattice parameters (Å, degrees): 4.1320 6.7812 6.7812 84.67 72.26 72.26
Atoms (fractional coordinates):
Ag (0.3427, 0.6573, 0.6573)
Hg (0.6698, 0.0000, 0.6603)
Hg (0.0000, 0.0000, 0.0000)
Hg (0.3302, 0.3397, 0.0000)
Hg (0.3302, 0.0000, 0.3397)
Ag (0.0000, 0.3427, 0.6573)
Hg (0.6698, 0.6603, 0.0000)
Ag (0.0000, 0.6573, 0.3427)
Ag (0.6573, 0.3427, 0.3427)

=====

(3)
Computed, not measured: Ag3Hg at its PBEsol-relaxed geometry at the SCAN level of DFT.

size of the total moment	0.000	μB/f.u.
density	12.39	g/cm³

Lattice parameters (Å, degrees): 2.9767 4.0557 5.8202 90.00 90.00 90.00
Atoms (fractional coordinates):
Ag (0.0000, 0.0000, 0.7422)
Ag (0.0000, 0.0000, 0.2578)
Ag (0.5000, 0.5000, 0.5000)
Hg (0.5000, 0.5000, 0.0000)

=====

Number 1: D(E_F) 0.281 states/eV/atom, ΔE_f 0.115 eV/f.u., VASP energy -49.709 eV per atom. Number 2: D(E_F) 0.253 states/eV/atom, ΔE_f 0.794 eV/f.u., VASP energy -51.723 eV per atom. Number 3: D(E_F) 0.241 states/eV/atom, ΔE_f 0.112 eV/f.u., VASP energy -40.539 eV per atom.